Record 1
Below is Sc2InAg after structural relaxation, with properties calculated at the PBE level.

Space group ... P6_3/mmc (194)
Crystal system ... hexagonal
Total magnetic moment ... 0.22 μB/atom
VASP energy ... -4.536 eV per atom

abc: 4.9114 4.9114 9.1744
angles: 90.00 90.00 120.00
Closest atoms and distances in Å follow each position.
Fractional positions:
In (0.0000, 0.0000, 0.5000)  6 Sc 2.94
In (0.0000, 0.0000, 0.0000)  6 Sc 2.94
Sc (0.3333, 0.6667, 0.9135)  3 In 2.94, 4 Sc 3.00-3.25, 4 Ag 3.09-3.21
Sc (0.6667, 0.3333, 0.0865)  3 In 2.94, 4 Sc 3.00-3.25, 4 Ag 3.09-3.21
Sc (0.3333, 0.6667, 0.5865)  3 In 2.94, 4 Sc 3.00-3.25, 4 Ag 3.09-3.21
Sc (0.6667, 0.3333, 0.4135)  3 In 2.94, 4 Sc 3.00-3.25, 4 Ag 3.09-3.21
Ag (0.6667, 0.3333, 0.7500)  8 Sc 3.09-3.21
Ag (0.3333, 0.6667, 0.2500)  8 Sc 3.09-3.21



Record 2
Below is InAgSe2 after structural relaxation, with properties calculated at the PBE level.

Space group ... Pna2_1 (33)
Crystal system ... orthorhombic
VASP energy ... -3.558 eV per atom

abc: 7.4513 8.7021 7.1074
angles: 90.00 90.00 90.00
Closest atoms and distances in Å follow each position.
Fractional positions:
Se (0.4226, 0.1244, 0.4922)  2 In 2.63-2.65, 2 Ag 2.67
Se (0.0879, 0.1243, 0.9997)  2 In 2.64, 2 Ag 2.67-2.69
Se (0.5774, 0.8756, 0.9922)  2 In 2.63-2.65, 2 Ag 2.67
Se (0.9226, 0.3756, 0.4922)  2 In 2.63-2.65, 2 Ag 2.67
Se (0.0774, 0.6244, 0.9922)  2 In 2.63-2.65, 2 Ag 2.67
Se (0.9121, 0.8757, 0.4997)  2 In 2.64, 2 Ag 2.67-2.69
Se (0.4121, 0.6243, 0.4997)  2 In 2.64, 2 Ag 2.67-2.69
Se (0.5879, 0.3757, 0.9997)  2 In 2.64, 2 Ag 2.67-2.69
Ag (0.5874, 0.3744, 0.6242)  4 Se 2.67-2.69
Ag (0.0874, 0.1256, 0.6242)  4 Se 2.67-2.69
Ag (0.9126, 0.8744, 0.1242)  4 Se 2.67-2.69
Ag (0.4126, 0.6256, 0.1242)  4 Se 2.67-2.69
In (0.0768, 0.6263, 0.6200)  4 Se 2.63-2.65
In (0.5768, 0.8737, 0.6200)  4 Se 2.63-2.65
In (0.4232, 0.1263, 0.1200)  4 Se 2.63-2.65
In (0.9232, 0.3737, 0.1200)  4 Se 2.63-2.65



Record 3
Below is InAgSe2 after structural relaxation, with properties calculated at the PBE level.

Space group ... C2 (5)
Crystal system ... monoclinic
VASP energy ... -3.561 eV per atom

abc: 7.4160 7.4160 6.1547
angles: 114.47 114.47 49.30
Closest atoms and distances in Å follow each position.
Fractional positions:
Se (0.1320, 0.8680, 0.0000)  2 In 2.63, 2 Ag 2.66
Se (0.3731, 0.1265, 0.7523)  2 In 2.63, 2 Ag 2.66-2.67
Se (0.6217, 0.3783, 0.5000)  2 In 2.63, 2 Ag 2.66
Se (0.8735, 0.6269, 0.2477)  2 In 2.63, 2 Ag 2.66-2.67
In (0.5011, 0.7504, 0.8739)  4 Se 2.63
In (0.2496, 0.4989, 0.1261)  4 Se 2.63
Ag (0.7508, 0.0018, 0.6290)  4 Se 2.66-2.67
Ag (0.9982, 0.2492, 0.3710)  4 Se 2.66-2.67